An optimized crystal structure of HoHfGe2O8, computed with PBE.

Values from the calculation:
- Uncorrected formation energy: -2382 meV/atom
- Magnetic moment: 1.9 μB per cell
- DOS(E_F): 20.36 states/eV per cell

Lattice parameters (Å, degrees): 6.9057 6.9057 6.3745 90.00 90.00 90.00
Last column: nearest neighbours and their distance in Å.
Space group I-4m2 (No. 119)
Inequivalent atoms, fractional coordinates:
1 Ho 0.0000 0.0000 0.0000  8 O 2.24-2.44
2 Hf 0.0000 0.5000 0.2500  8 O 2.15-2.30
3 Ge 0.0000 0.0000 0.5000  4 O 1.77
4 Ge 0.0000 0.5000 0.7500  4 O 1.76
5 O 0.0000 0.1946 0.3188  1 Ge 1.77
6 O 0.0000 0.3205 0.9462  1 Ge 1.76


An optimized crystal structure of AlSe4, computed with PBE.

Values from the calculation:
- Uncorrected formation energy: 70 meV/atom
- Magnetic moment: 0.0 μB per cell
- Distance to the lowest polymorph of the same formula: 0 meV per atom
- DOS(E_F): 3.10 states/eV per cell

Lattice parameters (Å, degrees): 8.4915 8.4915 3.2902 90.00 90.00 90.00
Last column: nearest neighbours and their distance in Å.
Space group I4/m (No. 87)
Inequivalent atoms, fractional coordinates:
1 Al 0.0000 0.0000 0.0000  8 Se 2.75
2 Se 0.1259 0.2261 0.5000  2 Se 2.70, 2 Al 2.75


An optimized crystal structure of Tb2PrTh3P6, computed with PBE.

Values from the calculation:
- Magnetic moment: 0.0 μB per cell
- DOS(E_F): 9.94 states/eV per cell
- Formation energy from the elements: -18.884 eV per formula unit

Lattice parameters (Å, degrees): 7.1511 12.3670 7.1021 90.00 109.61 90.00
Last column: nearest neighbours and their distance in Å.
Space group C2/m (No. 12)
Inequivalent atoms, fractional coordinates:
1 Tb 0.0000 0.1671 0.0000  6 P 2.88-2.89
2 Pr 0.0000 0.5000 0.0000  6 P 2.94
3 Th 0.0000 0.0000 0.5000  6 P 2.88-2.93
4 Th 0.0000 0.3344 0.5000  6 P 2.89-2.93
5 P 0.2431 0.0000 0.2478  3 Th 2.88-2.93, 2 Tb 2.89, 1 Pr 2.94
6 P 0.2473 0.1696 0.7509  2 Tb 2.88-2.89, 3 Th 2.89-2.93, 1 Pr 2.94


An optimized crystal structure of Be3TcSn, computed with PBE.

Values from the calculation:
- Magnetic moment: 2.7 μB per cell
- Distance to the lowest polymorph of the same formula: 909 meV per atom
- DOS(E_F): 2.77 states/eV per cell
- Formation energy from the elements: 8.355 eV per formula unit

Lattice parameters (Å, degrees): 4.4347 4.4347 4.4347 90.00 90.00 90.00
Last column: nearest neighbours and their distance in Å.
Space group Pm-3m (No. 221)
Inequivalent atoms, fractional coordinates:
1 Be 0.0000 0.0000 0.5000  2 Sn 2.22
2 Tc 0.5000 0.5000 0.5000  12 Be 3.14
3 Sn 0.0000 0.0000 0.0000  6 Be 2.22


An optimized crystal structure of Cs3BaCe2Se6, computed with PBE.

Values from the calculation:
- Uncorrected formation energy: -1672 meV/atom
- Magnetic moment: 2.0 μB per cell
- DOS(E_F): 11.97 states/eV per cell

Lattice parameters (Å, degrees): 7.8547 13.5939 8.7655 90.00 107.45 90.00
Last column: nearest neighbours and their distance in Å.
Space group C2/m (No. 12)
Inequivalent atoms, fractional coordinates:
1 Cs 0.0000 0.0000 0.0000  6 Se 3.52-3.77
2 Cs 0.0000 0.3402 0.0000  6 Se 3.55-3.78
3 Ba 0.0000 0.5000 0.5000  6 Se 3.27-3.29
4 Ce 0.0000 0.1672 0.5000  6 Se 2.96-2.97
5 Se 0.1984 0.0000 0.6887  2 Ce 2.96, 1 Ba 3.27
6 Se 0.2469 0.3173 0.6915  2 Ce 2.97, 1 Ba 3.29


An optimized crystal structure of NdBe2Pd3, computed with PBE.

Values from the calculation:
- Magnetic moment: 0.0 μB per cell
- DOS(E_F): 9.16 states/eV per cell
- Formation energy from the elements: -3.315 eV per formula unit

Lattice parameters (Å, degrees): 9.2946 9.2946 3.8109 90.00 90.00 120.00
Last column: nearest neighbours and their distance in Å.
Space group P6/mmm (No. 191)
Inequivalent atoms, fractional coordinates:
1 Nd 0.0000 0.0000 0.0000  6 Be 2.92
2 Nd 0.3333 0.6667 0.5000  6 Be 3.10, 12 Pd 3.29-3.31
3 Be 0.1812 0.3624 0.0000  6 Pd 2.41-2.57
4 Pd 0.0000 0.2916 0.5000  4 Be 2.41
5 Pd 0.0000 0.5000 0.0000  4 Be 2.57, 4 Pd 2.72


| no. | raw total energy (Ha/atom) |
| --- | --- |
| 1 | -0.2818 |
| 2 | -0.1274 |
| 3 | -0.2684 |
| 4 | -0.1264 |
| 5 | -0.1755 |
| 6 | -0.1906 |